No. 1
# Ca3AlCl | Alexandria via LeMat-Bulk | PBE | optimized geometry
data_Ca3AlCl
_space_group_name_H-M_alt 'P m -3 m'
_space_group_IT_number 221
_space_group_name_Hall '-P 4 2 3'
_cell_length_a 5.300
_cell_length_b 5.300
_cell_length_c 5.300
_cell_angle_alpha 90.00
_cell_angle_beta 90.00
_cell_angle_gamma 90.00
loop_
_atom_site_label
_atom_site_type_symbol
_atom_site_fract_x
_atom_site_fract_y
_atom_site_fract_z
_atom_site_occupancy
Ca1 Ca 0.000 0.000 0.500 1
Al1 Al 0.500 0.500 0.500 1
Cl1 Cl 0.000 0.000 0.000 1
# Crystal system   cubic
# Formation energy from raw total energies   -533.4 meV per atom

No. 2
# Ca2AlCoCl | Alexandria via LeMat-Bulk | PBE | optimized geometry
data_Ca2AlCoCl
_space_group_name_H-M_alt 'P 4/m m m'
_space_group_IT_number 123
_space_group_name_Hall '-P 4 2'
_cell_length_a 5.835
_cell_length_b 5.835
_cell_length_c 4.369
_cell_angle_alpha 90.00
_cell_angle_beta 90.00
_cell_angle_gamma 90.00
loop_
_atom_site_label
_atom_site_type_symbol
_atom_site_fract_x
_atom_site_fract_y
_atom_site_fract_z
_atom_site_occupancy
Ca1 Ca 0.000 0.500 0.000 1
Al1 Al 0.000 0.000 0.000 1
Co1 Co 0.000 0.000 0.500 1
Cl1 Cl 0.500 0.500 0.500 1
# Crystal system   tetragonal
# Formation energy from raw total energies   -111.4 meV per atom

No. 3
# CsCaAl2Cl8 | Alexandria via LeMat-Bulk | PBE | optimized geometry
data_CsCaAl2Cl8
_space_group_name_H-M_alt 'R -3'
_space_group_IT_number 148
_space_group_name_Hall '-R 3'
_cell_length_a 6.7571
_cell_length_b 6.7571
_cell_length_c 29.6153
_cell_angle_alpha 90.00
_cell_angle_beta 90.00
_cell_angle_gamma 120.00
loop_
_atom_site_label
_atom_site_type_symbol
_atom_site_fract_x
_atom_site_fract_y
_atom_site_fract_z
_atom_site_occupancy
Cs1 Cs 0.0000 0.0000 0.0000 1
Ca1 Ca 0.0000 0.0000 0.5000 1
Al1 Al 0.0000 0.0000 0.2439 1
Cl1 Cl 0.0000 0.0000 0.3178 1
Cl2 Cl 0.0032 0.3224 0.2224 1
# Crystal system   trigonal
# Formation energy from raw total energies   -1639.4 meV per atom

No. 4
# CaAl2CuCl | Alexandria via LeMat-Bulk | PBE | optimized geometry
data_CaAl2CuCl
_space_group_name_H-M_alt 'P 4/m m m'
_space_group_IT_number 123
_space_group_name_Hall '-P 4 2'
_cell_length_a 6.015
_cell_length_b 6.015
_cell_length_c 5.054
_cell_angle_alpha 90.00
_cell_angle_beta 90.00
_cell_angle_gamma 90.00
loop_
_atom_site_label
_atom_site_type_symbol
_atom_site_fract_x
_atom_site_fract_y
_atom_site_fract_z
_atom_site_occupancy
Ca1 Ca 0.000 0.000 0.000 1
Al1 Al 0.000 0.500 0.000 1
Cu1 Cu 0.500 0.500 0.500 1
Cl1 Cl 0.000 0.000 0.500 1
# Crystal system   tetragonal
# Formation energy from raw total energies   646.4 meV per atom

No. 5
# CaAlClF4 | Alexandria via LeMat-Bulk | PBE | optimized geometry
data_CaAlClF4
_space_group_name_H-M_alt 'C 1 2/m 1'
_space_group_IT_number 12
_space_group_name_Hall '-C 2y'
_cell_length_a 10.240
_cell_length_b 7.360
_cell_length_c 7.582
_cell_angle_alpha 90.00
_cell_angle_beta 111.75
_cell_angle_gamma 90.00
loop_
_atom_site_label
_atom_site_type_symbol
_atom_site_fract_x
_atom_site_fract_y
_atom_site_fract_z
_atom_site_occupancy
Ca1 Ca 0.201 0.000 0.165 1
Al1 Al 0.116 0.500 0.270 1
Cl1 Cl 0.047 0.000 0.790 1
F1 F 0.064 0.500 0.821 1
F2 F 0.174 0.309 0.195 1
F3 F 0.175 0.500 0.511 1
# Crystal system   monoclinic
# Formation energy from raw total energies   -3318.5 meV per atom

No. 6
# Ca2AlH10ClO8 | Alexandria via LeMat-Bulk | PBE | optimized geometry
data_Ca2AlH10ClO8
_space_group_name_H-M_alt 'C 1 2/c 1'
_space_group_IT_number 15
_space_group_name_Hall '-C 2yc'
_cell_length_a 10.139
_cell_length_b 5.706
_cell_length_c 16.294
_cell_angle_alpha 90.00
_cell_angle_beta 96.72
_cell_angle_gamma 90.00
loop_
_atom_site_label
_atom_site_type_symbol
_atom_site_fract_x
_atom_site_fract_y
_atom_site_fract_z
_atom_site_occupancy
Ca1 Ca 0.090 0.249 0.037 1
Al1 Al 0.250 0.250 0.500 1
H1 H 0.098 0.391 0.219 1
H2 H 0.100 0.113 0.219 1
H3 H 0.103 0.288 0.618 1
H4 H 0.126 0.005 0.384 1
H5 H 0.167 0.470 0.882 1
Cl1 Cl 0.000 0.250 0.750 1
O1 O 0.109 0.347 0.562 1
O2 O 0.113 0.069 0.437 1
O3 O 0.127 0.252 0.190 1
O4 O 0.211 0.466 0.938 1
# Crystal system   monoclinic
# E   -5.434 eV per atom

No. 7
# Ca2AlH10ClO8 | Alexandria via LeMat-Bulk | PBE | optimized geometry
data_Ca2AlH10ClO8
_space_group_name_H-M_alt 'C 1 c 1'
_space_group_IT_number 9
_space_group_name_Hall 'C -2yc'
_cell_length_a 9.938
_cell_length_b 5.819
_cell_length_c 16.759
_cell_angle_alpha 90.00
_cell_angle_beta 104.01
_cell_angle_gamma 90.00
loop_
_atom_site_label
_atom_site_type_symbol
_atom_site_fract_x
_atom_site_fract_y
_atom_site_fract_z
_atom_site_occupancy
Ca1 Ca 0.000 0.187 0.000 1
Ca2 Ca 0.197 0.312 0.572 1
Al1 Al 0.349 0.187 0.036 1
H1 H 0.001 0.452 0.153 1
H2 H 0.192 0.417 0.919 1
H3 H 0.210 0.419 0.754 1
H4 H 0.226 0.142 0.154 1
H5 H 0.234 0.087 0.419 1
H6 H 0.342 0.278 0.318 1
H7 H 0.346 0.276 0.755 1
H8 H 0.467 0.459 0.152 1
H9 H 0.475 0.221 0.920 1
H10 H 0.480 0.414 0.317 1
Cl1 Cl 0.096 0.250 0.286 1
O1 O 0.000 0.495 0.598 1
O2 O 0.197 0.370 0.975 1
O3 O 0.219 0.088 0.098 1
O4 O 0.250 0.299 0.725 1
O5 O 0.295 0.090 0.474 1
O6 O 0.402 0.466 0.098 1
O7 O 0.439 0.298 0.347 1
O8 O 0.478 0.286 0.974 1
# Crystal system   monoclinic
# E   -5.434 eV per atom

No. 8
# Ca2AlH10ClO8 | Alexandria via LeMat-Bulk | PBE | optimized geometry
data_Ca2AlH10ClO8
_space_group_name_H-M_alt 'C 1 2/c 1'
_space_group_IT_number 15
_space_group_name_Hall '-C 2yc'
_cell_length_a 16.800
_cell_length_b 6.293
_cell_length_c 10.719
_cell_angle_alpha 90.00
_cell_angle_beta 102.65
_cell_angle_gamma 90.00
loop_
_atom_site_label
_atom_site_type_symbol
_atom_site_fract_x
_atom_site_fract_y
_atom_site_fract_z
_atom_site_occupancy
Ca1 Ca 0.213 0.212 0.172 1
Al1 Al 0.250 0.250 0.500 1
H1 H 0.033 0.309 0.072 1
H2 H 0.059 0.493 0.171 1
H3 H 0.061 0.139 0.451 1
H4 H 0.067 0.177 0.519 1
H5 H 0.117 0.180 0.868 1
Cl1 Cl 0.000 0.255 0.750 1
O1 O 0.081 0.377 0.125 1
O2 O 0.172 0.174 0.926 1
O3 O 0.208 0.026 0.383 1
O4 O 0.240 0.126 0.639 1
# Crystal system   monoclinic
# E   -4.978 eV per atom

No. 9
# CaAlICl4 | Alexandria via LeMat-Bulk | PBE | optimized geometry
data_CaAlICl4
_space_group_name_H-M_alt 'C 1 2/m 1'
_space_group_IT_number 12
_space_group_name_Hall '-C 2y'
_cell_length_a 15.911
_cell_length_b 8.724
_cell_length_c 8.493
_cell_angle_alpha 90.00
_cell_angle_beta 109.89
_cell_angle_gamma 90.00
loop_
_atom_site_label
_atom_site_type_symbol
_atom_site_fract_x
_atom_site_fract_y
_atom_site_fract_z
_atom_site_occupancy
Ca1 Ca 0.129 0.000 0.170 1
Al1 Al 0.141 0.500 0.271 1
I1 I 0.049 0.000 0.788 1
Cl1 Cl 0.005 0.500 0.241 1
Cl2 Cl 0.184 0.304 0.157 1
Cl3 Cl 0.219 0.500 0.539 1
# Crystal system   monoclinic
# Formation energy from raw total energies   -1679.7 meV per atom

No. 10
# KCaAlCl6 | Alexandria via LeMat-Bulk | PBE | optimized geometry
data_KCaAlCl6
_space_group_name_H-M_alt 'P -3 1 c'
_space_group_IT_number 163
_space_group_name_Hall '-P 3 2c'
_cell_length_a 6.7677
_cell_length_b 6.7677
_cell_length_c 13.4141
_cell_angle_alpha 90.00
_cell_angle_beta 90.00
_cell_angle_gamma 120.00
loop_
_atom_site_label
_atom_site_type_symbol
_atom_site_fract_x
_atom_site_fract_y
_atom_site_fract_z
_atom_site_occupancy
K1 K 0.0000 0.0000 0.0000 1
Ca1 Ca 0.3333 0.6667 0.2500 1
Al1 Al 0.3333 0.6667 0.7500 1
Cl1 Cl 0.0436 0.3914 0.6473 1
# Crystal system   trigonal
# Formation energy from raw total energies   -1920.7 meV per atom

No. 11
# KCa2AlCl8 | Alexandria via LeMat-Bulk | PBE | optimized geometry
data_KCa2AlCl8
_space_group_name_H-M_alt 'P 1 2/m 1'
_space_group_IT_number 10
_space_group_name_Hall '-P 2y'
_cell_length_a 6.170
_cell_length_b 8.482
_cell_length_c 6.361
_cell_angle_alpha 90.00
_cell_angle_beta 91.38
_cell_angle_gamma 90.00
loop_
_atom_site_label
_atom_site_type_symbol
_atom_site_fract_x
_atom_site_fract_y
_atom_site_fract_z
_atom_site_occupancy
K1 K 0.000 0.000 0.000 1
Ca1 Ca 0.500 0.257 0.500 1
Al1 Al 0.000 0.500 0.000 1
Cl1 Cl 0.209 0.306 0.162 1
Cl2 Cl 0.253 0.500 0.699 1
Cl3 Cl 0.279 0.000 0.633 1
# Crystal system   monoclinic
# Formation energy from raw total energies   -1967.0 meV per atom

No. 12
# NaCa2AlCl8 | Alexandria via LeMat-Bulk | PBE | optimized geometry
data_NaCa2AlCl8
_space_group_name_H-M_alt 'P 1 2/m 1'
_space_group_IT_number 10
_space_group_name_Hall '-P 2y'
_cell_length_a 6.140
_cell_length_b 8.188
_cell_length_c 6.266
_cell_angle_alpha 90.00
_cell_angle_beta 90.24
_cell_angle_gamma 90.00
loop_
_atom_site_label
_atom_site_type_symbol
_atom_site_fract_x
_atom_site_fract_y
_atom_site_fract_z
_atom_site_occupancy
Na1 Na 0.000 0.000 0.000 1
Ca1 Ca 0.500 0.252 0.500 1
Al1 Al 0.000 0.500 0.000 1
Cl1 Cl 0.199 0.294 0.167 1
Cl2 Cl 0.260 0.500 0.704 1
Cl3 Cl 0.289 0.000 0.677 1
# Crystal system   monoclinic
# Formation energy from raw total energies   -1956.3 meV per atom

Number 1: calculated density 2.038 g cm⁻³. Number 2: calculated density 2.249 g cm⁻³. Number 3: calculated density 2.172 g cm⁻³. Number 4: calculated density 1.753 g cm⁻³. Number 5: calculated density 2.234 g cm⁻³. Number 6: calculated density 1.991 g cm⁻³. Number 7: calculated density 1.983 g cm⁻³. Number 8: calculated density 1.686 g cm⁻³. Number 9: calculated density 2.012 g cm⁻³. Number 10: calculated density 1.990 g cm⁻³. Number 11: calculated density 2.145 g cm⁻³. Number 12: calculated density 2.181 g cm⁻³.